[1]
DFT (GGA-PBE) results for a geometry-optimized AcLa6Sm4 structure.

Properties
* crystal system: tetragonal

abc: 10.044 10.044 10.044
angles: 140.70 140.70 56.80
Positions (direct):
Ac (0.000, 0.000, 0.000)
La (0.000, 0.500, 0.500)
La (0.200, 0.545, 0.000)
La (0.455, 0.455, 0.655)
La (0.500, 0.000, 0.500)
La (0.545, 0.200, 0.000)
La (0.800, 0.800, 0.345)
Sm (0.003, 0.003, 0.373)
Sm (0.371, 0.997, 0.000)
Sm (0.629, 0.629, 0.627)
Sm (0.997, 0.371, 0.000)

[2]
DFT (GGA-PBE) results for a geometry-optimized Ac8La3Sm3 structure.

Properties
* crystal system: monoclinic

abc: 9.793 9.793 6.395
angles: 100.71 100.71 89.71
Positions (direct):
Ac (0.110, 0.631, 0.944)
Ac (0.220, 0.481, 0.440)
Ac (0.369, 0.890, 0.056)
Ac (0.481, 0.220, 0.440)
Ac (0.519, 0.780, 0.560)
Ac (0.631, 0.110, 0.944)
Ac (0.780, 0.519, 0.560)
Ac (0.890, 0.369, 0.056)
La (0.229, 0.229, 0.848)
La (0.500, 0.500, 0.000)
La (0.771, 0.771, 0.152)
Sm (0.000, 0.000, 0.000)
Sm (0.134, 0.866, 0.500)
Sm (0.866, 0.134, 0.500)

[3]
DFT (GGA-PBE) results for a geometry-optimized AcLa4Sm7 structure.

Properties
* crystal system: monoclinic

abc: 6.962 6.962 12.991
angles: 114.66 114.66 53.35
Positions (direct):
Ac (0.000, 0.000, 0.000)
La (0.144, 0.144, 0.776)
La (0.434, 0.434, 0.675)
La (0.566, 0.566, 0.325)
La (0.856, 0.856, 0.224)
Sm (0.132, 0.132, 0.500)
Sm (0.270, 0.270, 0.330)
Sm (0.295, 0.295, 0.078)
Sm (0.500, 0.500, 0.000)
Sm (0.705, 0.705, 0.922)
Sm (0.730, 0.730, 0.670)
Sm (0.868, 0.868, 0.500)

[4]
DFT (GGA-PBE) results for a geometry-optimized AcLa6Sm5 structure.

Properties
* crystal system: monoclinic

abc: 8.285 8.285 6.446
angles: 97.34 97.34 84.52
Positions (direct):
Ac (0.000, 0.000, 0.000)
La (0.085, 0.420, 0.250)
La (0.252, 0.252, 0.745)
La (0.420, 0.085, 0.250)
La (0.580, 0.915, 0.750)
La (0.748, 0.748, 0.255)
La (0.915, 0.580, 0.750)
Sm (0.170, 0.830, 0.500)
Sm (0.336, 0.664, 0.000)
Sm (0.500, 0.500, 0.500)
Sm (0.664, 0.336, 0.000)
Sm (0.830, 0.170, 0.500)

[5]
DFT (GGA-PBE) results for a geometry-optimized Ac6LaSm3 structure.

Properties
* crystal system: trigonal

abc: 7.431 7.431 7.431
angles: 91.78 91.78 91.78
Positions (direct):
Ac (0.000, 0.331, 0.669)
Ac (0.170, 0.830, 0.500)
Ac (0.331, 0.669, 0.000)
Ac (0.500, 0.170, 0.830)
Ac (0.669, 0.000, 0.331)
Ac (0.830, 0.500, 0.170)
La (0.000, 0.000, 0.000)
Sm (0.253, 0.253, 0.253)
Sm (0.500, 0.500, 0.500)
Sm (0.747, 0.747, 0.747)

[6]
DFT (GGA-PBE) results for a geometry-optimized Ac5La6Sm2 structure.

Properties
* crystal system: orthorhombic

abc: 12.160 22.356 3.830
angles: 90.00 90.00 90.00
Positions (direct):
Ac (0.000, 0.000, 0.000)
Ac (0.052, 0.291, 0.000)
Ac (0.193, 0.579, 0.000)
Ac (0.307, 0.079, 0.000)
Ac (0.448, 0.791, 0.000)
Ac (0.500, 0.500, 0.000)
Ac (0.552, 0.209, 0.000)
Ac (0.693, 0.921, 0.000)
Ac (0.807, 0.421, 0.000)
Ac (0.948, 0.709, 0.000)
La (0.057, 0.145, 0.500)
La (0.084, 0.438, 0.500)
La (0.188, 0.872, 0.000)
La (0.312, 0.372, 0.000)
La (0.416, 0.938, 0.500)
La (0.443, 0.645, 0.500)
La (0.557, 0.355, 0.500)
La (0.584, 0.062, 0.500)
La (0.688, 0.628, 0.000)
La (0.812, 0.128, 0.000)
La (0.916, 0.562, 0.500)
La (0.943, 0.855, 0.500)
Sm (0.206, 0.733, 0.500)
Sm (0.294, 0.233, 0.500)
Sm (0.706, 0.767, 0.500)
Sm (0.794, 0.267, 0.500)

[7]
DFT (GGA-PBE) results for a geometry-optimized AcLa6Sm2 structure.

Properties
* crystal system: hexagonal

abc: 10.263 10.263 3.692
angles: 90.00 90.00 120.00
Positions (direct):
Ac (0.000, 0.000, 0.000)
La (0.000, 0.359, 0.000)
La (0.000, 0.680, 0.500)
La (0.320, 0.320, 0.500)
La (0.359, 0.000, 0.000)
La (0.641, 0.641, 0.000)
La (0.680, 0.000, 0.500)
Sm (0.333, 0.667, 0.500)
Sm (0.667, 0.333, 0.500)

[8]
DFT (GGA-PBE) results for a geometry-optimized AcLa12Sm5 structure.

Properties
* crystal system: monoclinic

abc: 11.154 11.154 6.444
angles: 106.69 106.69 59.92
Positions (direct):
Ac (0.000, 0.000, 0.000)
La (0.002, 0.662, 0.664)
La (0.165, 0.502, 0.163)
La (0.173, 0.827, 0.500)
La (0.336, 0.664, 0.000)
La (0.338, 0.998, 0.336)
La (0.498, 0.835, 0.837)
La (0.502, 0.165, 0.163)
La (0.662, 0.002, 0.664)
La (0.664, 0.336, 0.000)
La (0.827, 0.173, 0.500)
La (0.835, 0.498, 0.837)
La (0.998, 0.338, 0.336)
Sm (0.168, 0.168, 0.830)
Sm (0.334, 0.334, 0.664)
Sm (0.500, 0.500, 0.500)
Sm (0.666, 0.666, 0.336)
Sm (0.832, 0.832, 0.170)

[9]
DFT (GGA-PBE) results for a geometry-optimized Ac6LaSm2 structure.

Properties
* crystal system: monoclinic

abc: 9.990 9.990 7.844
angles: 90.65 90.65 78.11
Positions (direct):
Ac (0.101, 0.102, 0.370)
Ac (0.102, 0.101, 0.870)
Ac (0.106, 0.603, 0.881)
Ac (0.150, 0.612, 0.387)
Ac (0.388, 0.850, 0.113)
Ac (0.397, 0.894, 0.619)
Ac (0.603, 0.106, 0.381)
Ac (0.612, 0.150, 0.887)
Ac (0.850, 0.388, 0.613)
Ac (0.894, 0.397, 0.119)
Ac (0.898, 0.899, 0.130)
Ac (0.899, 0.898, 0.630)
La (0.465, 0.535, 0.750)
La (0.535, 0.465, 0.250)
Sm (0.294, 0.301, 0.111)
Sm (0.301, 0.294, 0.611)
Sm (0.699, 0.706, 0.389)
Sm (0.706, 0.699, 0.889)

[10]
DFT (GGA-PBE) results for a geometry-optimized Ac9La2Sm structure.

Properties
* crystal system: tetragonal

abc: 5.543 5.543 16.637
angles: 90.00 90.00 90.00
Positions (direct):
Ac (0.000, 0.000, 0.000)
Ac (0.000, 0.000, 0.332)
Ac (0.000, 0.000, 0.668)
Ac (0.000, 0.500, 0.165)
Ac (0.000, 0.500, 0.500)
Ac (0.000, 0.500, 0.835)
Ac (0.500, 0.000, 0.165)
Ac (0.500, 0.000, 0.500)
Ac (0.500, 0.000, 0.835)
La (0.500, 0.500, 0.333)
La (0.500, 0.500, 0.667)
Sm (0.500, 0.500, 0.000)

[11]
DFT (GGA-PBE) results for a geometry-optimized Ac2La3Sm structure.

Properties
* crystal system: orthorhombic

abc: 6.959 18.811 3.653
angles: 90.00 90.00 90.00
Positions (direct):
Ac (0.228, 0.186, 0.000)
Ac (0.272, 0.686, 0.500)
Ac (0.728, 0.314, 0.500)
Ac (0.772, 0.814, 0.000)
La (0.000, 0.500, 0.000)
La (0.222, 0.361, 0.500)
La (0.278, 0.861, 0.000)
La (0.500, 0.000, 0.500)
La (0.722, 0.139, 0.000)
La (0.778, 0.639, 0.500)
Sm (0.000, 0.000, 0.000)
Sm (0.500, 0.500, 0.500)

[12]
DFT (GGA-PBE) results for a geometry-optimized AcLa4Sm3 structure.

Properties
* crystal system: orthorhombic

abc: 10.568 7.453 7.431
angles: 90.00 90.00 90.00
Positions (direct):
Ac (0.000, 0.000, 0.000)
Ac (0.500, 0.000, 0.500)
La (0.000, 0.000, 0.500)
La (0.000, 0.500, 0.000)
La (0.250, 0.256, 0.250)
La (0.250, 0.744, 0.750)
La (0.500, 0.000, 0.000)
La (0.500, 0.500, 0.500)
La (0.750, 0.256, 0.250)
La (0.750, 0.744, 0.750)
Sm (0.000, 0.500, 0.500)
Sm (0.250, 0.255, 0.750)
Sm (0.250, 0.745, 0.250)
Sm (0.500, 0.500, 0.000)
Sm (0.750, 0.255, 0.750)
Sm (0.750, 0.745, 0.250)

| no. | energy of formation from the pure elements (eV per atom) | total magnetic moment (μB per formula unit) |
| --- | --- | --- |
| 1 | 0.2729 | 0.00 |
| 2 | 0.1925 | 0.00 |
| 3 | 0.2483 | 0.01 |
| 4 | 0.0190 | 0.00 |
| 5 | 0.1532 | 0.00 |
| 6 | 0.0821 | 0.00 |
| 7 | 0.0435 | 0.00 |
| 8 | 0.0207 | 0.00 |
| 9 | 0.1466 | 0.00 |
| 10 | 0.0191 | 0.00 |
| 11 | 0.2301 | 0.00 |
| 12 | 0.0184 | 0.00 |